(1)
Density functional theory data (PBE) for an optimized crystal structure of Dy4ZnGaCu2.

The structure belongs to space group R-3m (No. 166, hexagonal axes); the cell edges are 4.9853, 4.9853 and 24.5078 Å and the angles 90.00°, 90.00° and 120.00°. The asymmetric unit holds Dy at (0.0000, 0.0000, 0.1246), Dy at (0.0000, 0.0000, 0.3746), Zn at (0.0000, 0.0000, 0.0000), Ga at (0.0000, 0.0000, 0.5000) and Cu at (0.0000, 0.0000, 0.2518).

The total energy comes out at -101.015 eV per cell. The formation energy from the elements comes out at -346 meV per atom. The volume comes out at 21.98 Å³/atom.


(2)
Density functional theory data (PBE) for an optimized crystal structure of ScClF2.

The structure belongs to space group I-42d (No. 122); the cell edges are 4.9295, 4.9295 and 12.2848 Å and the angles 90.00°, 90.00° and 90.00°. The asymmetric unit holds Sc at (0.0000, 0.0000, 0.0000), Cl at (0.0000, 0.0000, 0.5000) and F at (0.0011, 0.7500, 0.1250).

The energy above the lowest structure with this stoichiometry is 0.290 eV/atom. The calculation puts the energy relative to the elements, uncorrected at -278 kJ per mole of atoms. The total energy comes out at -93.856 eV per cell. The volume comes out at 18.66 Å³/atom.


(3)
Density functional theory data (PBE) for an optimized crystal structure of Li2InBr.

The structure belongs to space group I-4m2 (No. 119); the cell edges are 3.8700, 3.8700 and 12.5775 Å and the angles 90.00°, 90.00° and 90.00°. The asymmetric unit holds Li at (0.0000, 0.0000, 0.0000), Li at (0.0000, 0.5000, 0.2500), In at (0.0000, 0.0000, 0.5000) and Br at (0.0000, 0.5000, 0.7500).

The energy above the lowest structure with this stoichiometry is 0.174 eV/atom. The calculation puts the energy relative to the elements, uncorrected at -53 kJ per mole of atoms. The total energy comes out at -20.884 eV per cell. The volume comes out at 23.55 Å³/atom.


(4)
Density functional theory data (PBE) for an optimized crystal structure of BaAlRu2.

The structure belongs to space group I-42d (No. 122); the cell edges are 4.8789, 4.8789 and 17.4290 Å and the angles 90.00°, 90.00° and 90.00°. The asymmetric unit holds Ba at (0.0000, 0.0000, 0.0000), Al at (0.0000, 0.0000, 0.5000) and Ru at (0.0170, 0.2500, 0.6250).

The total energy comes out at -91.585 eV per cell. The formation energy from the elements comes out at 330 meV per atom. The volume comes out at 25.93 Å³/atom.


(5)
Density functional theory data (PBE) for an optimized crystal structure of SrSn2Bi2.

The structure belongs to space group P4/mbm (No. 127); the cell edges are 8.7579, 8.7579 and 4.2893 Å and the angles 90.00°, 90.00° and 90.00°. The asymmetric unit holds Sr at (0.0000, 0.0000, 0.0000), Sn at (0.1626, 0.3374, 0.5000) and Bi at (0.1354, 0.6354, 0.0000).

The total energy comes out at -36.693 eV per cell. The formation energy from the elements comes out at -179 meV per atom. The volume comes out at 32.90 Å³/atom.


(6)
Density functional theory data (PBE) for an optimized crystal structure of Ge2SbMo.

The structure belongs to space group I-42d (No. 122); the cell edges are 6.0372, 6.0372 and 12.0455 Å and the angles 90.00°, 90.00° and 90.00°. The asymmetric unit holds Ge at (0.2125, 0.2500, 0.1250), Sb at (0.0000, 0.0000, 0.5000) and Mo at (0.0000, 0.0000, 0.0000).

The energy above the lowest structure with this stoichiometry is 0.045 eV/atom. The calculation puts the energy relative to the elements, uncorrected at 63 kJ per mole of atoms. The total energy comes out at -86.287 eV per cell. The volume comes out at 27.44 Å³/atom.


(7)
Density functional theory data (PBE) for an optimized crystal structure of Ca6AcIr2.

The structure belongs to space group Immm (No. 71); the cell edges are 4.6899, 10.8380 and 12.3098 Å and the angles 90.00°, 90.00° and 90.00°. The asymmetric unit holds Ca at (0.0000, 0.0000, 0.1335), Ca at (0.0000, 0.2405, 0.3636), Ac at (0.0000, 0.5000, 0.0000) and Ir at (0.0000, 0.2313, 0.0000).

The total energy comes out at -71.462 eV per cell. The formation energy from the elements comes out at -210 meV per atom. The volume comes out at 34.76 Å³/atom.


(8)
Density functional theory data (PBE) for an optimized crystal structure of RbPr2HgTe4.

The structure belongs to space group Cmcm (No. 63); the cell edges are 4.7102, 15.6006 and 16.4497 Å and the angles 90.00°, 90.00° and 90.00°. The asymmetric unit holds Rb at (0.0000, 0.1310, 0.2500), Pr at (0.0000, 0.3746, 0.0617), Hg at (0.0000, 0.1560, 0.7500), Te at (0.0000, 0.0000, 0.0000), Te at (0.0000, 0.2639, 0.6039) and Te at (0.0000, 0.4510, 0.2500).

The calculation puts the energy relative to the elements, uncorrected at -101 kJ per mole of atoms. The total energy comes out at -127.211 eV per cell. The volume comes out at 37.77 Å³/atom.


(9)
Density functional theory data (PBE) for an optimized crystal structure of LiMnCo2.

The structure belongs to space group R-3m (No. 166, hexagonal axes); the cell edges are 2.4786, 2.4786 and 25.3022 Å and the angles 90.00°, 90.00° and 120.00°. The asymmetric unit holds Li at (0.0000, 0.0000, 0.0000), Mn at (0.0000, 0.0000, 0.5000) and Co at (0.0000, 0.0000, 0.2457).

The energy above the lowest structure with this stoichiometry is 0.000 eV/atom. The total energy comes out at -74.121 eV per cell. The formation energy from the elements comes out at 147 meV per atom. The volume comes out at 11.22 Å³/atom.


(10)
Density functional theory data (PBE) for an optimized crystal structure of NdEuTiNbO6.

The structure belongs to space group F-43m (No. 216); the cell edges are 8.0150, 8.0150 and 8.0150 Å and the angles 90.00°, 90.00° and 90.00°. The asymmetric unit holds Nd at (0.0000, 0.0000, 0.0000), Eu at (0.0000, 0.0000, 0.5000), Ti at (0.2500, 0.2500, 0.7500), Nb at (0.2500, 0.2500, 0.2500) and O at (0.0037, 0.2500, 0.7500).

The calculation puts the energy relative to the elements, uncorrected at -276 kJ per mole of atoms. The total energy comes out at -365.337 eV per cell. The volume comes out at 12.87 Å³/atom.


(11)
Density functional theory data (PBE) for an optimized crystal structure of Na2ScPaBi4.

The structure belongs to space group P2/m (No. 10); the cell edges are 7.0020, 5.0528 and 7.7218 Å and the angles 90.00°, 113.10° and 90.00°. The asymmetric unit holds Na at (0.0000, 0.0000, 0.0000), Na at (0.5000, 0.5000, 0.0000), Sc at (0.0000, 0.0000, 0.5000), Pa at (0.5000, 0.5000, 0.5000), Bi at (0.0086, 0.5000, 0.2820) and Bi at (0.4770, 0.0000, 0.7349).

The total energy comes out at -35.862 eV per cell. The formation energy from the elements comes out at -234 meV per atom. The volume comes out at 31.41 Å³/atom.


(12)
Density functional theory data (PBE) for an optimized crystal structure of YGaBr.

The structure belongs to space group Pmmn (No. 59, origin choice 2); the cell edges are 3.7869, 3.8524 and 10.8846 Å and the angles 90.00°, 90.00° and 90.00°. The asymmetric unit holds Y at (0.2500, 0.2500, 0.2173), Ga at (0.2500, 0.7500, 0.0020) and Br at (0.2500, 0.2500, 0.6550).

The calculation puts the energy relative to the elements, uncorrected at -97 kJ per mole of atoms. The total energy comes out at -28.342 eV per cell. The volume comes out at 26.47 Å³/atom.